--- A ---
A geometry-optimized RbGa structure, computed with PBE.

It has space group Cmcm (No. 63), with a = 11.208 Å, b = 8.212 Å, c = 6.542 Å, α = 90.00°, β = 90.00° and γ = 90.00°. The inequivalent atoms are Rb at (0.170, 0.149, 0.250), Ga at (0.000, 0.266, 0.750) and Ga at (0.000, 0.500, 0.000).

Its volume is 75.3 Å³/f.u.

=====

--- B ---
A geometry-optimized RbGa structure, computed with PBE.

It has space group Pmmn (No. 59, origin choice 2), with a = 6.800 Å, b = 15.467 Å, c = 4.692 Å, α = 90.00°, β = 90.00° and γ = 90.00°. The inequivalent atoms are Rb at (0.250, 0.016, 0.233), Rb at (0.250, 0.250, 0.686), Ga at (0.250, 0.662, 0.726) and Ga at (0.250, 0.750, 0.219).

Its volume is 82.3 Å³/f.u.

=====

It is A that is most stable; the runner-up trails by 46 meV per atom.

=====

--- A ---
A geometry-optimized RbGa structure, computed with PBE.

It has space group P6_3/mmc (No. 194), with a = 13.1699 Å, b = 13.1699 Å, c = 4.5443 Å, α = 90.00°, β = 90.00° and γ = 120.00°. The inequivalent atoms are Rb at (0.2160, 0.4320, 0.2500) and Ga at (0.0421, 0.5210, 0.7500).

Its volume is 113.8 Å³/f.u.

=====

--- B ---
A geometry-optimized RbGa structure, computed with PBE.

It has space group Fddd (No. 70, origin choice 2), with a = 6.860 Å, b = 10.837 Å, c = 17.424 Å, α = 90.00°, β = 90.00° and γ = 90.00°. The inequivalent atoms are Rb at (0.125, 0.294, 0.125) and Ga at (0.125, 0.125, 0.553).

Its volume is 81.0 Å³/f.u.

=====

It is A that is most stable; the runner-up trails by 147 meV per atom.

=====

--- A ---
A geometry-optimized RbGa structure, computed with PBE.

It has space group Fm-3m (No. 225), with a = 7.301 Å, b = 7.301 Å, c = 7.301 Å, α = 90.00°, β = 90.00° and γ = 90.00°. The inequivalent atoms are Rb at (0.000, 0.000, 0.000) and Ga at (0.000, 0.000, 0.500).

Its volume is 97.3 Å³/f.u.

=====

--- B ---
A geometry-optimized RbGa structure, computed with PBE.

It has space group Pmmn (No. 59, origin choice 2), with a = 4.556 Å, b = 16.632 Å, c = 7.142 Å, α = 90.00°, β = 90.00° and γ = 90.00°. The inequivalent atoms are Rb at (0.250, 0.026, 0.232), Rb at (0.250, 0.750, 0.464), Ga at (0.250, 0.250, 0.021) and Ga at (0.250, 0.666, 0.972).

Its volume is 90.2 Å³/f.u.

=====

--- C ---
A geometry-optimized RbGa structure, computed with PBE.

It has space group I4/m (No. 87), with a = 11.869 Å, b = 11.869 Å, c = 4.299 Å, α = 90.00°, β = 90.00° and γ = 90.00°. The inequivalent atoms are Rb at (0.139, 0.180, 0.000) and Ga at (0.010, 0.616, 0.500).

Its volume is 75.7 Å³/f.u.

=====

--- D ---
A geometry-optimized RbGa structure, computed with PBE.

It has space group P2_1/m (No. 11), with a = 5.966 Å, b = 4.580 Å, c = 6.709 Å, α = 90.00°, β = 116.34° and γ = 90.00°. The inequivalent atoms are Rb at (0.151, 0.250, 0.303) and Ga at (0.463, 0.250, 0.925).

Its volume is 82.1 Å³/f.u.

=====

It is D that is most stable; the runner-up trails by 39 meV per atom.

=====

--- A ---
A geometry-optimized RbGa structure, computed with PBE.

It has space group P-1 (No. 2), with a = 4.520 Å, b = 6.372 Å, c = 6.672 Å, α = 118.46°, β = 109.64° and γ = 90.21°. The inequivalent atoms are Rb at (0.092, 0.341, 0.182) and Ga at (0.294, 0.045, 0.589).

Its volume is 78.0 Å³/f.u.

=====

--- B ---
A geometry-optimized RbGa structure, computed with PBE.

It has space group P4/m (No. 83), with a = 12.839 Å, b = 12.839 Å, c = 4.628 Å, α = 90.00°, β = 90.00° and γ = 90.00°. The inequivalent atoms are Rb at (0.021, 0.237, 0.000), Rb at (0.300, 0.658, 0.500), Ga at (0.086, 0.440, 0.500) and Ga at (0.113, 0.524, 0.000).

Its volume is 95.4 Å³/f.u.

=====

--- C ---
A geometry-optimized RbGa structure, computed with PBE.

It has space group P4_2/mnm (No. 136), with a = 7.498 Å, b = 7.498 Å, c = 7.255 Å, α = 90.00°, β = 90.00° and γ = 90.00°. The inequivalent atoms are Rb at (0.179, 0.179, 0.000) and Ga at (0.117, 0.117, 0.500).

Its volume is 102.0 Å³/f.u.

=====

It is A that is most stable; the runner-up trails by 40 meV per atom.

=====

--- A ---
A geometry-optimized RbGa7 structure, computed with PBE.

It has space group C2/m (No. 12), with a = 11.375 Å, b = 7.229 Å, c = 4.870 Å, α = 90.00°, β = 115.32° and γ = 90.00°. The inequivalent atoms are Rb at (0.000, 0.000, 0.000), Ga at (0.000, 0.500, 0.000), Ga at (0.133, 0.319, 0.633) and Ga at (0.245, 0.500, 0.246).

Its volume is 181.0 Å³/f.u.

=====

--- B ---
A geometry-optimized RbGa7 structure, computed with PBE.

It has space group R-3m (No. 166, hexagonal axes), with a = 6.7443 Å, b = 6.7443 Å, c = 28.6892 Å, α = 90.00°, β = 90.00° and γ = 120.00°. The inequivalent atoms are Rb at (0.0000, 0.0000, 0.1958), Ga at (0.0000, 0.0000, 0.4555), Ga at (0.0546, 0.5273, 0.7438) and Ga at (0.0665, 0.5333, 0.3517).

Its volume is 188.4 Å³/f.u.

=====

It is B that is most stable; the runner-up trails by 56 meV per atom.

=====

--- A ---
A geometry-optimized RbGa6 structure, computed with PBE.

It has space group Im-3m (No. 229), with a = 7.250 Å, b = 7.250 Å, c = 7.250 Å, α = 90.00°, β = 90.00° and γ = 90.00°. The inequivalent atoms are Rb at (0.000, 0.000, 0.000) and Ga at (0.000, 0.250, 0.500).

Its volume is 190.5 Å³/f.u.

=====

--- B ---
A geometry-optimized RbGa6 structure, computed with PBE.

It has space group P4/nbm (No. 125, origin choice 2), with a = 5.951 Å, b = 5.951 Å, c = 9.670 Å, α = 90.00°, β = 90.00° and γ = 90.00°. The inequivalent atoms are Rb at (0.250, 0.750, 0.000), Ga at (0.064, 0.564, 0.377) and Ga at (0.250, 0.250, 0.218).

Its volume is 171.2 Å³/f.u.

=====

It is B that is most stable; the runner-up trails by 11 meV per atom.

=====

--- A ---
A geometry-optimized RbGa2 structure, computed with PBE.

It has space group Fd-3m (No. 227, origin choice 2), with a = 8.657 Å, b = 8.657 Å, c = 8.657 Å, α = 90.00°, β = 90.00° and γ = 90.00°. The inequivalent atoms are Rb at (0.125, 0.125, 0.125) and Ga at (0.000, 0.000, 0.500).

Its volume is 81.1 Å³/f.u.

=====

--- B ---
A geometry-optimized RbGa2 structure, computed with PBE.

It has space group P6/mmm (No. 191), with a = 4.4079 Å, b = 4.4079 Å, c = 5.8611 Å, α = 90.00°, β = 90.00° and γ = 120.00°. The inequivalent atoms are Rb at (0.0000, 0.0000, 0.0000) and Ga at (0.3333, 0.6667, 0.5000).

Its volume is 98.6 Å³/f.u.

=====

It is B that is most stable; the runner-up trails by 118 meV per atom.

=====

--- A ---
A geometry-optimized RbGa2 structure, computed with PBE.

It has space group C2/m (No. 12), with a = 12.365 Å, b = 4.337 Å, c = 8.372 Å, α = 90.00°, β = 125.98° and γ = 90.00°. The inequivalent atoms are Rb at (0.080, 0.000, 0.369), Ga at (0.123, 0.500, 0.052) and Ga at (0.223, 0.500, 0.852).

Its volume is 90.8 Å³/f.u.

=====

--- B ---
A geometry-optimized RbGa2 structure, computed with PBE.

It has space group C2/c (No. 15), with a = 8.685 Å, b = 10.828 Å, c = 4.620 Å, α = 90.00°, β = 111.65° and γ = 90.00°. The inequivalent atoms are Rb at (0.000, 0.180, 0.250) and Ga at (0.153, 0.452, 0.977).

Its volume is 101.0 Å³/f.u.

=====

--- C ---
A geometry-optimized RbGa2 structure, computed with PBE.

It has space group I4/mmm (No. 139), with a = 3.742 Å, b = 3.742 Å, c = 13.008 Å, α = 90.00°, β = 90.00° and γ = 90.00°. The inequivalent atoms are Rb at (0.000, 0.000, 0.000) and Ga at (0.000, 0.000, 0.283).

Its volume is 91.1 Å³/f.u.

=====

It is A that is most stable; the runner-up trails by 13 meV per atom.

=====

--- A ---
A geometry-optimized RbGa5 structure, computed with PBE.

It has space group Cmmm (No. 65), with a = 4.729 Å, b = 12.896 Å, c = 4.767 Å, α = 90.00°, β = 90.00° and γ = 90.00°. The inequivalent atoms are Rb at (0.000, 0.000, 0.000), Ga at (0.000, 0.189, 0.500), Ga at (0.000, 0.311, 0.000) and Ga at (0.000, 0.500, 0.500).

Its volume is 145.4 Å³/f.u.

=====

--- B ---
A geometry-optimized RbGa5 structure, computed with PBE.

It has space group Pmmm (No. 47), with a = 4.080 Å, b = 5.933 Å, c = 6.130 Å, α = 90.00°, β = 90.00° and γ = 90.00°. The inequivalent atoms are Rb at (0.000, 0.000, 0.000), Ga at (0.000, 0.284, 0.500), Ga at (0.500, 0.000, 0.500) and Ga at (0.500, 0.500, 0.237).

Its volume is 148.4 Å³/f.u.

=====

It is B that is most stable; the runner-up trails by 150 meV per atom.